# Ru2Rh | Alexandria | SCAN | PBEsol geometry
data_Ru2Rh
_cell_length_a 9.717
_cell_length_b 2.685
_cell_length_c 6.313
_cell_angle_alpha 90.00
_cell_angle_beta 103.82
_cell_angle_gamma 90.00
_space_group_name_H-M_alt 'C 1 m 1'
_space_group_IT_number 8
loop_
_space_group_symop_operation_xyz
'x,y,z'
'x,-y,z'
'x+1/2,y+1/2,z'
'x+1/2,-y+1/2,z'
loop_
_atom_site_label
_atom_site_type_symbol
_atom_site_fract_x
_atom_site_fract_y
_atom_site_fract_z
Ru1 Ru 0.000 0.000 0.000
Ru2 Ru 0.056 0.000 0.613
Ru3 Ru 0.221 0.500 0.946
Ru4 Ru 0.390 0.000 0.277
Rh1 Rh 0.166 0.500 0.332
Rh2 Rh 0.335 0.000 0.671
# E_tot   -34.460 eV/atom
# Calculated volume   40 Å³/f.u.